## a
NaTbSm: relaxed, GGA-PBE.

Calculated density   5.4 g/cm³
Volume   102 Å³ per cell
Total magnetic moment   0.0 μB/f.u.

Geometry as POSCAR:
```
NaTbSm
1.0
-1.7620 1.7620 8.1929
1.7620 -1.7620 8.1929
1.7620 1.7620 -8.1929
Na Tb Sm
1 1 1
Direct
0.0000 0.0000 0.0000
0.3263 0.3263 0.0000
0.6763 0.6763 0.0000
```

=====

## b
NaTbSm: relaxed, GGA-PBE.

Calculated density   5.4 g/cm³
Volume   206 Å³ per cell
Total magnetic moment   0.0 μB/f.u.

Geometry as POSCAR:
```
NaTbSm
1.0
4.1619 0.0000 0.0000
0.0000 4.1619 0.0000
0.0000 0.0000 11.8975
Na Tb Sm
2 2 2
Direct
0.2500 0.7500 0.0000
0.7500 0.2500 0.0000
0.2500 0.2500 0.4278
0.7500 0.7500 0.5722
0.2500 0.2500 0.7385
0.7500 0.7500 0.2615
```

=====

Verdict on stability: a comes out on top.